No. 1
Density functional theory data (PBE-GGA) for a relaxed Y3HoSn2C2 crystal.

Output
E: -0.5040 Ry per atom

abc: 3.6247 3.6247 15.8387
angles: 90.00 90.00 120.00
With the nearest neighbours (Å) after each atom.
Element x y z (fractional)
Y (0.3333, 0.6667, 0.9153)  3 C 2.49
Y (0.3333, 0.6667, 0.5849)  3 C 2.49
Y (0.0000, 0.0000, 0.4151)  3 C 2.49
C (0.6667, 0.3333, 0.5001)  6 Y 2.49
C (0.6667, 0.3333, 0.0010)  3 Ho 2.47, 3 Y 2.49
Ho (0.0000, 0.0000, 0.0841)  3 C 2.47
Sn (0.3333, 0.6667, 0.2493)  3 Ho 3.35, 3 Y 3.36, 6 Sn 3.62
Sn (0.0000, 0.0000, 0.7502)  6 Y 3.35, 6 Sn 3.62

No. 2
Density functional theory data (PBE-GGA) for a relaxed BaLi2Ag2 crystal.

Output
E: -0.1827 Ry per atom

abc: 6.8141 6.8141 6.8141
angles: 140.93 140.93 56.44
With the nearest neighbours (Å) after each atom.
Element x y z (fractional)
Ag (0.6202, 0.6202, 0.0000)  4 Li 2.76, 1 Ag 2.89
Ag (0.3798, 0.3798, 0.0000)  4 Li 2.76, 1 Ag 2.89
Li (0.2500, 0.7500, 0.5000)  4 Ag 2.76
Li (0.7500, 0.2500, 0.5000)  4 Ag 2.76
Ba (0.0000, 0.0000, 0.0000)  8 Ag 3.53, 8 Li 3.77

No. 3
Density functional theory data (PBE-GGA) for a relaxed RbPm2Cu3Se5 crystal.

Output
E: -0.3432 Ry per atom

abc: 7.6126 7.6126 17.5471
angles: 90.00 90.00 148.09
With the nearest neighbours (Å) after each atom.
Element x y z (fractional)
Se (0.2421, 0.7579, 0.7500)  2 Cu 2.41
Se (0.4438, 0.5562, 0.1153)  3 Cu 2.54-2.81
Se (0.8377, 0.1623, 0.5717)  2 Cu 2.50
Se (0.1623, 0.8377, 0.4283)  2 Cu 2.50
Se (0.7579, 0.2421, 0.2500)  2 Cu 2.41
Se (0.5562, 0.4438, 0.8847)  3 Cu 2.54-2.81
Se (0.5562, 0.4438, 0.6153)  3 Cu 2.54-2.81
Se (0.1623, 0.8377, 0.0717)  2 Cu 2.50
Se (0.4438, 0.5562, 0.3847)  3 Cu 2.54-2.81
Se (0.8377, 0.1623, 0.9283)  2 Cu 2.50
Pm (0.8087, 0.1913, 0.4083)  6 Se 2.88-3.02
Pm (0.1913, 0.8087, 0.9083)  6 Se 2.88-3.02
Pm (0.1913, 0.8087, 0.5917)  6 Se 2.88-3.02
Pm (0.8087, 0.1913, 0.0917)  6 Se 2.88-3.02
Rb (0.0624, 0.9376, 0.2500)  8 Se 3.45-3.60
Rb (0.9376, 0.0624, 0.7500)  8 Se 3.45-3.60
Cu (0.3397, 0.6602, 0.2500)  2 Se 2.41
Cu (0.4148, 0.5852, 0.9724)  4 Se 2.50-2.58, 1 Cu 2.67
Cu (0.6602, 0.3397, 0.7500)  2 Se 2.41
Cu (0.5852, 0.4148, 0.0276)  4 Se 2.50-2.58, 1 Cu 2.67
Cu (0.4148, 0.5852, 0.5276)  4 Se 2.50-2.58, 1 Cu 2.67
Cu (0.5852, 0.4148, 0.4724)  4 Se 2.50-2.58, 1 Cu 2.67

No. 4
Density functional theory data (PBE-GGA) for a relaxed Rb2Tm2SO3 crystal.

Output
E: -0.4538 Ry per atom

abc: 3.5357 3.5357 13.5935
angles: 90.00 90.00 120.00
With the nearest neighbours (Å) after each atom.
Element x y z (fractional)
O (0.6667, 0.3333, 0.4111)  3 Tm 2.33
O (0.6667, 0.3333, 0.1026)  3 Tm 2.29
O (0.0000, 0.0000, 0.5716)  3 Tm 2.30
S (0.0000, 0.0000, 0.9037)  3 Tm 2.63
Tm (0.3333, 0.6667, 0.0260)  3 O 2.29
Tm (0.3333, 0.6667, 0.4937)  6 O 2.30-2.33
Rb (0.6667, 0.3333, 0.7298)  3 O 2.96, 3 S 3.12
Rb (0.0000, 0.0000, 0.2615)  6 O 2.88-2.97

No. 5
Density functional theory data (PBE-GGA) for a relaxed ZnGe2Sb crystal.

Output
E: -0.2474 Ry per atom

abc: 4.9056 4.9056 4.9056
angles: 60.00 60.00 60.00
With the nearest neighbours (Å) after each atom.
Element x y z (fractional)
Zn (0.5000, 0.5000, 0.5000)  4 Ge 3.00, 4 Sb 3.00
Ge (0.0000, 0.0000, 0.0000)  4 Sb 3.00, 4 Ge 3.00
Ge (0.2500, 0.2500, 0.2500)  4 Zn 3.00, 4 Ge 3.00
Sb (0.7500, 0.7500, 0.7500)  4 Ge 3.00, 4 Zn 3.00

No. 6
Density functional theory data (PBE-GGA) for a relaxed Li2ZnPt crystal.

Output
E: -0.2449 Ry per atom

abc: 4.2692 4.2692 4.2692
angles: 60.00 60.00 60.00
With the nearest neighbours (Å) after each atom.
Element x y z (fractional)
Li (0.7500, 0.7500, 0.7500)  4 Zn 2.61, 4 Li 2.61
Li (0.5000, 0.5000, 0.5000)  4 Li 2.61, 4 Pt 2.61
Zn (0.0000, 0.0000, 0.0000)  4 Li 2.61, 4 Pt 2.61
Pt (0.2500, 0.2500, 0.2500)  4 Li 2.61, 4 Zn 2.61

No. 7
Density functional theory data (PBE-GGA) for a relaxed TbInNi crystal.

Output
E: -0.3543 Ry per atom

abc: 7.3355 7.3355 3.9182
angles: 90.00 90.00 120.00
With the nearest neighbours (Å) after each atom.
Element x y z (fractional)
Ni (0.0000, 0.0000, 0.5000)  6 In 2.69
Ni (0.3333, 0.6667, 0.0000)  3 In 2.79, 6 Tb 2.96
Ni (0.6667, 0.3333, 0.0000)  3 In 2.79, 6 Tb 2.96
In (0.0000, 0.2513, 0.0000)  4 Ni 2.69-2.79
In (0.2513, 0.0000, 0.0000)  4 Ni 2.69-2.79
In (0.7487, 0.7487, 0.0000)  4 Ni 2.69-2.79
Tb (0.5882, 0.0000, 0.5000)  5 Ni 2.96-3.02, 6 In 3.15-3.29
Tb (0.0000, 0.5882, 0.5000)  5 Ni 2.96-3.02, 6 In 3.15-3.29
Tb (0.4118, 0.4118, 0.5000)  5 Ni 2.96-3.02, 6 In 3.15-3.29

No. 8
Density functional theory data (PBE-GGA) for a relaxed ZrBeSi crystal.

Output
energy relative to the lowest polymorph listed for this composition: 689 meV/atom

abc: 4.5654 4.5654 5.2366
angles: 90.00 90.00 120.00
With the nearest neighbours (Å) after each atom.
Element x y z (fractional)
Si (0.6667, 0.3333, 0.7500)  5 Zr 2.62-2.64
Si (0.3333, 0.6667, 0.2500)  5 Zr 2.62-2.64
Zr (0.3333, 0.6667, 0.7500)  5 Si 2.62-2.64
Zr (0.6667, 0.3333, 0.2500)  5 Si 2.62-2.64
Be (0.0000, 0.0000, 0.0000)  2 Be 2.62
Be (0.0000, 0.0000, 0.5000)  2 Be 2.62